Computed, not measured: crystalline Pr3Nd4Zn at its relaxed geometry at the PBE level of DFT.

Values from the calculation:
E: -4.405 eV per atom
Size of the total moment: 0.00 μB per formula unit

```
8
Lattice="3.7010 0.0000 0.0000 0.0000 3.7010 0.0000 0.0000 0.0000 19.3732" Properties=species:S:1:pos:R:3 pbc="T T T"
Pr 1.8505 1.8505 9.6866
Pr 1.8505 1.8505 14.9131
Nd 0.0000 0.0000 7.0682
Nd 0.0000 0.0000 1.8180
Nd 0.0000 0.0000 17.5552
Pr 1.8505 1.8505 4.4601
Zn 1.8505 1.8505 0.0000
Nd 0.0000 0.0000 12.3050
```

Computed, not measured: crystalline Pr3NdZn2 at its relaxed geometry at the PBE level of DFT.

Values from the calculation:
E: -3.721 eV per atom
Size of the total moment: 0.00 μB per formula unit

```
12
Lattice="-0.7362 1.4405 5.2580 3.2395 -6.3453 2.1919 6.1911 6.2526 -3.7239" Properties=species:S:1:pos:R:3 pbc="T T T"
Pr 3.5519 4.7216 2.0817
Zn 3.5905 -1.2585 3.7244
Pr 3.5227 -0.2012 0.5483
Zn 1.9705 1.9146 2.6302
Pr 2.0615 -4.0387 4.2729
Pr 5.1425 -3.3738 1.6443
Nd 1.6197 -3.1726 1.0960
Zn 5.1039 2.6063 0.0016
Zn 6.7239 -0.5668 1.0958
Pr 5.1717 1.5489 3.1776
Pr 0.4418 -0.8661 3.1770
Nd 0.0000 0.0000 0.0000
```

Computed, not measured: crystalline Pr2Nd2Zn at its relaxed geometry at the PBE level of DFT.

Values from the calculation:
E: -4.187 eV per atom
Size of the total moment: 0.00 μB per formula unit

```
5
Lattice="-1.5108 3.3970 -0.0705 -3.3485 -1.5017 -0.5996 0.6510 -1.5035 11.6611" Properties=species:S:1:pos:R:3 pbc="T T T"
Pr -1.4944 -0.4670 9.5156
Pr -2.7140 0.8588 1.4753
Nd -3.5156 0.6083 6.5793
Nd -0.6928 -0.2165 4.4117
Zn 0.0000 0.0000 0.0000
```

Computed, not measured: crystalline Pr6NdZn at its relaxed geometry at the PBE level of DFT.

Values from the calculation:
E: -4.321 eV per atom
Size of the total moment: 0.00 μB per formula unit

```
8
Lattice="8.6684 0.6101 -0.4004 4.8223 8.4031 -0.0187 4.3227 3.1125 3.7470" Properties=species:S:1:pos:R:3 pbc="T T T"
Pr 2.8718 0.9788 0.4354
Pr 7.1543 3.0610 0.6480
Pr 3.7257 4.5020 1.0764
Pr 14.0876 7.6237 2.2514
Zn 0.0000 0.0000 0.0000
Pr 14.9416 11.1469 2.8924
Nd 8.9067 6.0629 1.6639
Pr 10.6591 9.0648 2.6798
```

Computed, not measured: crystalline Pr3NdZn4 at its relaxed geometry at the PBE level of DFT.

Values from the calculation:
E: -3.329 eV per atom
Size of the total moment: 0.00 μB per formula unit

```
16
Lattice="-0.6386 -4.3970 2.7602 4.6724 2.5762 5.1848 -8.0410 4.3575 5.0812" Properties=species:S:1:pos:R:3 pbc="T T T"
Pr -4.0205 2.1788 2.5406
Zn -0.8426 1.9085 7.8015
Zn 0.8486 -1.3783 7.9107
Nd 2.3362 1.2881 2.5924
Zn -4.8558 3.9150 5.1155
Zn 3.1780 -0.2702 5.2609
Pr -2.3294 -1.1079 2.6496
Pr 0.0068 0.1802 5.2420
Zn -1.4736 -2.6586 5.3338
Zn -3.1646 0.6282 5.2247
Zn -2.5336 5.1954 7.6924
Zn 0.8559 -1.5506 2.6841
Pr -4.0140 2.3565 7.7842
Pr 0.0000 0.0000 0.0000
Nd -1.6843 3.4669 5.1330
Pr -6.3502 1.0684 5.1917
```

Computed, not measured: crystalline Pr2NdZn9 at its relaxed geometry at the PBE level of DFT.

Values from the calculation:
E: -2.444 eV per atom
Size of the total moment: 0.00 μB per formula unit

```
12
Lattice="5.5473 0.0000 0.0000 2.7736 4.8041 0.0000 2.7736 1.6014 8.7943" Properties=species:S:1:pos:R:3 pbc="T T T"
Zn 4.1464 2.3939 2.1256
Zn 5.5472 1.5851 6.6688
Zn 5.5473 4.8203 2.1256
Nd 0.0000 0.0000 0.0000
Zn 5.5472 3.2027 8.7542
Zn 4.1463 4.0115 6.6688
Zn 5.5473 3.2027 0.0401
Zn 6.9481 4.0115 6.6688
Zn 6.9482 2.3939 2.1256
Pr 8.3209 4.8041 3.7275
Zn 5.5473 3.2027 4.3972
Pr 2.7736 1.6014 5.0668
```

Computed, not measured: crystalline PrNdZn4 at its relaxed geometry at the PBE level of DFT.

Values from the calculation:
E: -2.780 eV per atom
Size of the total moment: 0.00 μB per formula unit

```
6
Lattice="4.2720 0.0000 1.7188 1.7818 5.2913 1.7398 0.1355 -0.4167 5.8316" Properties=species:S:1:pos:R:3 pbc="T T T"
Zn 3.0775 0.2041 4.6875
Zn 3.8969 3.0450 2.6510
Zn 3.1117 4.6705 4.6026
Zn 2.2923 1.8296 6.6391
Pr 0.0000 0.0000 0.0000
Nd 0.9586 2.4373 3.7857
```

Computed, not measured: crystalline Pr3NdZn8 at its relaxed geometry at the PBE level of DFT.

Values from the calculation:
E: -2.756 eV per atom
Size of the total moment: 0.00 μB per formula unit

```
12
Lattice="-1.5203 -2.4631 4.8105 -3.2995 -4.5413 -0.0920 5.7712 -7.6870 1.1641" Properties=species:S:1:pos:R:3 pbc="T T T"
Pr 3.2436 -9.3536 2.7880
Zn 1.0924 -9.5785 5.2690
Zn 1.6202 -4.6757 1.3941
Zn -1.7813 -5.7412 4.6860
Zn 0.2040 -10.6161 2.8211
Nd -2.0577 -9.0082 4.5654
Pr 0.4797 -7.3486 2.9411
Zn 2.0959 -12.0214 4.3353
Zn -2.6701 -6.7793 2.2371
Zn -0.5551 -11.8460 5.2231
Zn -1.0219 -4.5108 2.2830
Pr -4.8196 -7.0046 4.7184
```